# KNpCrF6 GGA+U optimized geometry
data_KNpCrF6
_space_group_name_H-M_alt 'I m m a'
_space_group_IT_number 74
_space_group_name_Hall '-I 2b 2'
_cell_length_a 7.617
_cell_length_b 7.679
_cell_length_c 10.651
_cell_angle_alpha 90.00
_cell_angle_beta 90.00
_cell_angle_gamma 90.00
loop_
_atom_site_label
_atom_site_fract_x
_atom_site_fract_y
_atom_site_fract_z
K1 0.000 0.250 0.086
Np1 0.000 0.000 0.500
Cr1 0.250 0.250 0.750
F1 0.000 0.250 0.373
F2 0.000 0.250 0.634
F3 0.227 0.057 0.883
# Calculated total energy   -6.61 eV/atom
# Magnetic moment   0.889 μB per atom
# Crystal system   orthorhombic
# Volume   17.31 A^3/atom